First-principles (PBE with a Hubbard U) data for an optimized crystal structure of FeI2NF, as listed in Alexandria.

Output
Electronic total energy (eV/atom): -3.229
SG: P4/mmm (123)
DOS at the Fermi energy (states/eV/atom): 1.001
M_tot (μB/f.u.): 1.980

Cell: 5.577 5.577 3.600 Å, 90.00 90.00 90.00°
Element x y z (fractional)
Fe: 0.000 0.000 0.000
I: 0.000 0.500 0.000
I: 0.500 0.000 0.000
N: 0.000 0.000 0.500
F: 0.500 0.500 0.500